Entry 1:
## InHg2TeS2 (PBE-GGA)

Data for a geometry-optimized InHg2TeS2 structure.

Output
**Formation energy (no corrections)**: -146 meV/atom
**SG**: Cmc2_1 (36)
**Total DFT energy (no corrections)**: -31.233 eV per cell

```
InHg2TeS2
1.0
6.763 -3.976 0.000
6.763 3.976 0.000
0.000 0.000 6.974
In Hg Te S
2 4 2 4
Direct
0.191 0.809 0.500
0.809 0.191 0.000
0.167 0.473 0.033
0.473 0.167 0.533
0.527 0.833 0.033
0.833 0.527 0.533
0.170 0.830 0.921
0.830 0.170 0.421
0.169 0.499 0.425
0.499 0.169 0.925
0.501 0.831 0.425
0.831 0.501 0.925
```

=====

Entry 2:
## InHg2TeS (PBE-GGA)

Data for a geometry-optimized InHg2TeS structure.

Output
**Formation energy (no corrections)**: 559 meV/atom
**SG**: P4/mmm (123)
**Total DFT energy (no corrections)**: -7.817 eV per cell

```
InHg2TeS
1.0
5.441 0.000 0.000
0.000 5.441 0.000
0.000 0.000 5.802
In Hg Te S
1 2 1 1
Direct
0.000 0.000 0.000
0.000 0.500 0.000
0.500 0.000 0.000
0.000 0.000 0.500
0.500 0.500 0.500
```

=====

Entry 3:
## TlInHgS (PBE-GGA)

Data for a geometry-optimized TlInHgS structure.

Output
**Energy relative to the lowest polymorph listed for this composition**: 0 meV/atom
**Formation energy (no corrections)**: -232 meV/atom
**SG**: P1 (1)
**Total DFT energy (no corrections)**: -10.463 eV per cell

```
TlInHgS
1.0
4.035 0.000 0.000
2.010 3.501 0.000
0.021 2.304 8.285
Tl In Hg S
1 1 1 1
Direct
0.000 0.000 0.000
0.806 0.388 0.418
0.235 0.539 0.695
0.415 0.174 0.237
```

=====

Entry 4:
## Tl2InHgS4 (PBE-GGA)

Data for a geometry-optimized Tl2InHgS4 structure.

Output
**Formation energy (no corrections)**: -275 meV/atom
**SG**: C2 (5)
**Total DFT energy (no corrections)**: -26.481 eV per cell

```
Tl2InHgS4
1.0
4.433 -4.445 0.000
4.433 4.445 0.000
-4.291 0.000 5.412
Tl In Hg S
2 1 1 4
Direct
0.000 0.000 0.000
0.760 0.240 0.500
0.459 0.541 0.000
0.240 0.760 0.500
0.082 0.509 0.042
0.333 0.224 0.567
0.491 0.918 0.958
0.776 0.667 0.433
```

=====

Entry 5:
## TlInHgS3 (PBE-GGA)

Data for a geometry-optimized TlInHgS3 structure.

Output
**Energy relative to the lowest polymorph listed for this composition**: 61 meV/atom
**Formation energy (no corrections)**: -328 meV/atom
**SG**: P2_1/m (11)
**Total DFT energy (no corrections)**: -39.508 eV per cell

```
TlInHgS3
1.0
9.049 0.000 0.000
0.000 3.853 0.000
-1.466 0.000 10.232
Tl In Hg S
2 2 2 6
Direct
0.173 0.250 0.223
0.827 0.750 0.777
0.365 0.750 0.897
0.635 0.250 0.103
0.135 0.250 0.604
0.865 0.750 0.396
0.170 0.250 0.852
0.183 0.750 0.452
0.441 0.750 0.144
0.559 0.250 0.856
0.817 0.250 0.548
0.830 0.750 0.148
```

=====

Entry 6:
## TlInHgS3 (PBE-GGA)

Data for a geometry-optimized TlInHgS3 structure.

Output
**Energy relative to the lowest polymorph listed for this composition**: 0 meV/atom
**Formation energy (no corrections)**: -389 meV/atom
**SG**: C2/c (15)
**Total DFT energy (no corrections)**: -80.482 eV per cell

```
TlInHgS3
1.0
7.123 -2.002 0.000
7.123 2.002 0.000
-5.123 0.000 21.217
Tl In Hg S
4 4 4 12
Direct
0.115 0.884 0.921
0.116 0.885 0.579
0.884 0.115 0.421
0.885 0.116 0.079
0.183 0.298 0.324
0.298 0.183 0.824
0.702 0.817 0.176
0.817 0.702 0.676
0.000 0.500 0.000
0.432 0.568 0.250
0.500 0.000 0.500
0.568 0.432 0.750
0.096 0.207 0.203
0.207 0.096 0.703
0.247 0.426 0.442
0.319 0.438 0.153
0.426 0.247 0.942
0.438 0.319 0.653
0.562 0.681 0.347
0.574 0.753 0.058
0.681 0.562 0.847
0.753 0.574 0.558
0.793 0.904 0.297
0.904 0.793 0.797
```

=====

| no. | calculated volume (Å³/atom) |
| --- | --- |
| 1 | 31.25 |
| 2 | 34.35 |
| 3 | 29.25 |
| 4 | 26.65 |
| 5 | 29.73 |
| 6 | 25.21 |